Record 1
ErMg2Zn10: optimized geometry, PBE.

Energy relative to the elements ... -128 meV per atom
Symmetry ... No. 69
M_tot ... 0.0 μB/f.u.

Structure (POSCAR):
```
ErMg2Zn10
1.0
0.000 6.216 6.379
2.762 0.000 6.379
2.762 6.216 0.000
Er Mg Zn
1 2 10
direct
0.000 0.000 0.000 Er
0.000 0.500 0.000 Mg
0.500 0.000 0.500 Mg
0.000 0.000 0.500 Zn
0.008 0.646 0.354 Zn
0.287 0.505 0.495 Zn
0.354 0.992 0.008 Zn
0.495 0.713 0.287 Zn
0.500 0.500 0.000 Zn
0.505 0.287 0.713 Zn
0.646 0.008 0.992 Zn
0.713 0.495 0.505 Zn
0.992 0.354 0.646 Zn
```

Record 2
Nb2CuSiI: optimized geometry, PBE.

Energy relative to the elements, uncorrected ... 145.8 kJ per mole of atoms
Symmetry ... No. 123
M_tot ... 0.0 μB/f.u.

Structure (POSCAR):
```
Nb2CuSiI
1.0
4.888 0.000 0.000
0.000 4.888 0.000
0.000 0.000 4.674
Nb Cu Si I
2 1 1 1
direct
0.000 0.500 0.000 Nb
0.500 0.000 0.000 Nb
0.000 0.000 0.000 Cu
0.500 0.500 0.500 Si
0.000 0.000 0.500 I
```